1.
# SnPO4F

A relaxed SnPO4F crystal (GGA-PBEsol, Alexandria via LeMat-Bulk).

Properties
- calculated total energy (eV/cell) = -190.65

Lattice parameters (Å, degrees): 6.4064 7.3290 7.7600 90.00 90.00 90.00
Last column: nearest neighbours and their distance in Å.
Positions (direct):
Sn (0.2500, 0.7545, 0.1280)  4 O 2.00-2.01, 2 F 2.07
O (0.7500, 0.5040, 0.7896)  1 P 1.54
O (0.2500, 0.0132, 0.0406)  1 P 1.55
F (0.2500, 0.6522, 0.8798)  2 Sn 2.07
Sn (0.7500, 0.2455, 0.8720)  4 O 2.00-2.01, 2 F 2.07
O (0.9388, 0.7550, 0.6308)  1 P 1.54
Sn (0.2500, 0.7455, 0.6280)  4 O 2.00-2.01, 2 F 2.07
O (0.7500, 0.9868, 0.9594)  1 P 1.55
O (0.4388, 0.2450, 0.3692)  1 P 1.54
O (0.7500, 0.5132, 0.4594)  1 P 1.55
P (0.7500, 0.6251, 0.6281)  4 O 1.54-1.55
O (0.2500, 0.0040, 0.7104)  1 P 1.54
P (0.2500, 0.3749, 0.3719)  4 O 1.54-1.55
O (0.0612, 0.2450, 0.3692)  1 P 1.54
F (0.7500, 0.3478, 0.1202)  2 Sn 2.07
P (0.2500, 0.1251, 0.8719)  4 O 1.54-1.55
O (0.9388, 0.7450, 0.1308)  1 P 1.54
F (0.7500, 0.1522, 0.6202)  2 Sn 2.07
O (0.4388, 0.2550, 0.8692)  1 P 1.54
O (0.0612, 0.2550, 0.8692)  1 P 1.54
O (0.5612, 0.7550, 0.6308)  1 P 1.54
O (0.5612, 0.7450, 0.1308)  1 P 1.54
O (0.2500, 0.4868, 0.5406)  1 P 1.55
O (0.2500, 0.4960, 0.2104)  1 P 1.54
O (0.7500, 0.9960, 0.2896)  1 P 1.54
Sn (0.7500, 0.2545, 0.3720)  4 O 2.00-2.01, 2 F 2.07
P (0.7500, 0.8749, 0.1281)  4 O 1.54-1.55
F (0.2500, 0.8478, 0.3798)  2 Sn 2.07

2.
# SnPO2F

A relaxed SnPO2F crystal (GGA-PBEsol, Alexandria via LeMat-Bulk).

Properties
- calculated total energy (eV/cell) = -27.50

Lattice parameters (Å, degrees): 3.8497 3.8497 4.2216 90.00 90.00 90.00
Last column: nearest neighbours and their distance in Å.
Positions (direct):
O (0.0000, 0.5000, 0.0000)  2 P 1.92
O (0.5000, 0.0000, 0.0000)  2 P 1.92
Sn (0.5000, 0.5000, 0.5000)  4 F 2.72, 8 O 2.86
F (0.0000, 0.0000, 0.5000)  2 P 2.11
P (0.0000, 0.0000, 0.0000)  4 O 1.92, 2 F 2.11

3.
# Sr5P3O12F

A relaxed Sr5P3O12F crystal (GGA-PBEsol, Alexandria via LeMat-Bulk).

Properties
- calculated total energy (eV/cell) = -310.73

Lattice parameters (Å, degrees): 7.2694 9.6972 9.6972 120.00 90.00 90.00
Last column: nearest neighbours and their distance in Å.
Positions (direct):
O (0.2500, 0.3295, 0.8493)  1 P 1.55
O (0.5773, 0.6552, 0.9142)  1 P 1.55
Sr (0.7500, 0.7595, 0.7460)  1 F 2.40, 5 O 2.48-2.63
O (0.5773, 0.0858, 0.7411)  1 P 1.55
F (0.7500, 0.0000, 0.0000)  3 Sr 2.40
P (0.2500, 0.6326, 0.6002)  4 O 1.55
Sr (0.2500, 0.7460, 0.9865)  1 F 2.40, 5 O 2.48-2.63
O (0.7500, 0.4152, 0.8798)  1 P 1.55
O (0.7500, 0.4803, 0.3295)  1 P 1.55
O (0.4227, 0.3448, 0.0858)  1 P 1.55
O (0.7500, 0.4646, 0.5848)  1 P 1.55
F (0.2500, 0.0000, 0.0000)  3 Sr 2.40
O (0.0773, 0.9142, 0.2589)  1 P 1.55
O (0.7500, 0.1202, 0.5354)  1 P 1.55
Sr (0.7500, 0.2540, 0.0135)  1 F 2.40, 5 O 2.48-2.63
P (0.2500, 0.3998, 0.0324)  4 O 1.55
P (0.2500, 0.9676, 0.3674)  4 O 1.55
O (0.7500, 0.8493, 0.5197)  1 P 1.55
O (0.2500, 0.1507, 0.4803)  1 P 1.55
O (0.7500, 0.6705, 0.1507)  1 P 1.55
O (0.2500, 0.8798, 0.4646)  1 P 1.55
Sr (0.5003, 0.3333, 0.6667)  6 O 2.55-2.56
O (0.5773, 0.2589, 0.3448)  1 P 1.55
O (0.9227, 0.2589, 0.3448)  1 P 1.55
O (0.9227, 0.6552, 0.9142)  1 P 1.55
O (0.0773, 0.3448, 0.0858)  1 P 1.55
O (0.4227, 0.7411, 0.6552)  1 P 1.55
Sr (0.4997, 0.6667, 0.3333)  6 O 2.55-2.56
O (0.9227, 0.0858, 0.7411)  1 P 1.55
O (0.4227, 0.9142, 0.2589)  1 P 1.55
O (0.2500, 0.5354, 0.4152)  1 P 1.55
Sr (0.9997, 0.3333, 0.6667)  6 O 2.55-2.56
Sr (0.2500, 0.2405, 0.2540)  1 F 2.40, 5 O 2.48-2.63
O (0.2500, 0.5848, 0.1202)  1 P 1.55
O (0.0773, 0.7411, 0.6552)  1 P 1.55
O (0.2500, 0.5197, 0.6705)  1 P 1.55
Sr (0.2500, 0.0135, 0.7595)  1 F 2.40, 5 O 2.48-2.63
P (0.7500, 0.0324, 0.6326)  4 O 1.55
Sr (0.0003, 0.6667, 0.3333)  6 O 2.55-2.56
P (0.7500, 0.6002, 0.9676)  4 O 1.55
Sr (0.7500, 0.9865, 0.2405)  1 F 2.40, 5 O 2.48-2.63
P (0.7500, 0.3674, 0.3998)  4 O 1.55

4.
# SrPO2F

A relaxed SrPO2F crystal (GGA-PBEsol, Alexandria via LeMat-Bulk).

Properties
- calculated total energy (eV/cell) = -22.68

Lattice parameters (Å, degrees): 3.4220 4.5609 4.5609 90.00 90.00 90.00
Last column: nearest neighbours and their distance in Å.
Positions (direct):
O (0.0000, 0.0000, 0.5000)  2 F 2.28
O (0.0000, 0.5000, 0.0000)  2 F 2.28
F (0.0000, 0.0000, 0.0000)  2 P 1.71
P (0.5000, 0.0000, 0.0000)  2 F 1.71
Sr (0.5000, 0.5000, 0.5000)  8 O 2.85

5.
# TaP2OF

A relaxed TaP2OF crystal (GGA-PBEsol, Alexandria via LeMat-Bulk).

Properties
- calculated total energy (eV/cell) = -33.36

Lattice parameters (Å, degrees): 3.8444 4.8532 4.8532 90.00 90.00 90.00
Last column: nearest neighbours and their distance in Å.
Positions (direct):
Ta (0.0000, 0.0000, 0.0000)  2 O 1.92
P (0.0000, 0.5000, 0.0000)  2 Ta 2.43
F (0.5000, 0.5000, 0.5000)  8 P 3.10, 4 O 3.43
O (0.5000, 0.0000, 0.0000)  2 Ta 1.92
P (0.0000, 0.0000, 0.5000)  2 Ta 2.43

6.
# TcP2OF

A relaxed TcP2OF crystal (GGA-PBEsol, Alexandria via LeMat-Bulk).

Properties
- calculated total energy (eV/cell) = -31.31

Lattice parameters (Å, degrees): 3.6404 4.6127 4.6127 90.00 90.00 90.00
Last column: nearest neighbours and their distance in Å.
Positions (direct):
O (0.5000, 0.0000, 0.0000)  2 Tc 1.82
P (0.0000, 0.0000, 0.5000)  2 Tc 2.31
F (0.5000, 0.5000, 0.5000)  8 P 2.94, 4 O 3.26
Tc (0.0000, 0.0000, 0.0000)  2 O 1.82
P (0.0000, 0.5000, 0.0000)  2 Tc 2.31

7.
# TePO2F

A relaxed TePO2F crystal (GGA-PBEsol, Alexandria via LeMat-Bulk).

Properties
- calculated total energy (eV/cell) = -19.15

Lattice parameters (Å, degrees): 3.5679 4.2440 4.2440 90.00 90.00 90.00
Last column: nearest neighbours and their distance in Å.
Positions (direct):
P (0.5000, 0.0000, 0.0000)  2 F 1.78
O (0.0000, 0.5000, 0.0000)  2 F 2.12
Te (0.5000, 0.5000, 0.5000)  8 O 2.77, 4 P 3.00
O (0.0000, 0.0000, 0.5000)  2 F 2.12
F (0.0000, 0.0000, 0.0000)  2 P 1.78

8.
# TiPOF2

A relaxed TiPOF2 crystal (GGA-PBEsol, Alexandria via LeMat-Bulk).

Properties
- calculated total energy (eV/cell) = -31.14

Lattice parameters (Å, degrees): 3.8378 4.0496 4.0496 90.00 90.00 90.00
Last column: nearest neighbours and their distance in Å.
Positions (direct):
O (0.5000, 0.0000, 0.0000)  2 Ti 1.92
F (0.0000, 0.5000, 0.0000)  2 Ti 2.02
Ti (0.0000, 0.0000, 0.0000)  2 O 1.92, 4 F 2.02
P (0.5000, 0.5000, 0.5000)  8 F 2.79, 4 O 2.86
F (0.0000, 0.0000, 0.5000)  2 Ti 2.02

9.
# PbO2F2

A relaxed PbO2F2 crystal (GGA-PBEsol, Alexandria via LeMat-Bulk).

Properties
- calculated total energy (eV/cell) = -20.68

Lattice parameters (Å, degrees): 4.0692 4.3377 4.3377 90.00 90.00 90.00
Last column: nearest neighbours and their distance in Å.
Positions (direct):
Pb (0.0000, 0.0000, 0.0000)  2 O 2.03, 4 F 2.17
O (0.5000, 0.5000, 0.5000)  8 F 2.97, 4 O 3.07
F (0.0000, 0.5000, 0.0000)  2 Pb 2.17
F (0.0000, 0.0000, 0.5000)  2 Pb 2.17
O (0.5000, 0.0000, 0.0000)  2 Pb 2.03

10.
# PbOF2

A relaxed PbOF2 crystal (GGA-PBEsol, Alexandria via LeMat-Bulk).

Properties
- calculated total energy (eV/cell) = -13.66
- ΔE to the lowest computed polymorph (eV/atom) = 0.8202

Lattice parameters (Å, degrees): 3.3359 3.3359 7.1594 76.53 76.53 60.00
Last column: nearest neighbours and their distance in Å.
Positions (direct):
F (0.1081, 0.1081, 0.6758)  1 Pb 2.24, 3 O 2.28
O (0.5000, 0.5000, 0.5000)  6 F 2.28
F (0.8919, 0.8919, 0.3242)  1 Pb 2.24, 3 O 2.28
Pb (0.0000, 0.0000, 0.0000)  2 F 2.24

11.
# PbOF2

A relaxed PbOF2 crystal (GGA-PBEsol, Alexandria via LeMat-Bulk).

Properties
- calculated total energy (eV/cell) = -33.88
- ΔE to the lowest computed polymorph (eV/atom) = 0.0000

Lattice parameters (Å, degrees): 3.5906 3.5906 8.2369 102.59 102.59 90.00
Last column: nearest neighbours and their distance in Å.
Positions (direct):
Pb (0.2500, 0.7500, 0.5000)  4 F 2.32, 4 O 2.54
Pb (0.0000, 0.0000, 0.0000)  4 F 2.32, 4 O 2.54
F (0.3619, 0.8750, 0.2500)  2 Pb 2.32, 2 O 2.35, 2 F 2.47
F (0.1250, 0.1119, 0.7500)  2 Pb 2.32, 2 O 2.35, 2 F 2.47
F (0.6250, 0.6381, 0.7500)  2 Pb 2.32, 2 O 2.35, 2 F 2.47
F (0.8881, 0.3750, 0.2500)  2 Pb 2.32, 2 O 2.35, 2 F 2.47
O (0.5000, 0.5000, 0.0000)  4 F 2.35, 4 Pb 2.54
O (0.7500, 0.2500, 0.5000)  4 F 2.35, 4 Pb 2.54

12.
# RbPbOF2

A relaxed RbPbOF2 crystal (GGA-PBEsol, Alexandria via LeMat-Bulk).

Properties
- calculated total energy (eV/cell) = -23.92

Lattice parameters (Å, degrees): 4.2573 4.6961 4.6961 90.00 90.00 90.00
Last column: nearest neighbours and their distance in Å.
Positions (direct):
F (0.0000, 0.0000, 0.5000)  2 Pb 2.35
F (0.0000, 0.5000, 0.0000)  2 Pb 2.35
O (0.5000, 0.0000, 0.0000)  2 Pb 2.13
Pb (0.0000, 0.0000, 0.0000)  2 O 2.13, 4 F 2.35
Rb (0.5000, 0.5000, 0.5000)  8 F 3.17, 4 O 3.32